First-principles (PBE) data for PmSiPb after structural relaxation, as listed in OQMD.

Summary:
calculated total energy	-13.44	eV per cell
crystal system	cubic
offset from the most stable computed form	255	meV/atom
total moment	0.01	μB per formula unit
SG	No. 216

Cell lengths 5.058, 5.058, 5.058 Å; angles 60.00, 60.00, 60.00 degrees
Fractional coordinates of all 3 atoms:
Pb 0.250 0.250 0.250
Pm 0.000 0.000 0.000
Si 0.750 0.750 0.750